KAg2Pt | PBE-GGA | relaxed

## Properties
- Offset from the most stable computed form: 201 meV per atom
- Fermi-level density of states: 6.93 states/eV per cell
- Formation energy from the elements: 0.3356 eV/atom
- Spin magnetization: 0.0000 μB/atom

```
data_KAg2Pt
_cell_length_a 2.9630
_cell_length_b 2.9630
_cell_length_c 31.6700
_cell_angle_alpha 90.00
_cell_angle_beta 90.00
_cell_angle_gamma 120.00
_space_group_name_H-M_alt 'R -3 m'
_space_group_IT_number 166
_space_group_name_Hall '-R 3 2"'
loop_
_atom_site_label
_atom_site_fract_x
_atom_site_fract_y
_atom_site_fract_z
_atom_site_occupancy
K1 0.0000 0.0000 0.0000 1
Ag1 0.0000 0.0000 0.2405 1
Pt1 0.0000 0.0000 0.5000 1
```